The following is a DFT calculation (GGA-PBE) of a relaxed structure of CdNiHgBi2.

Geometry as extended XYZ:
```
5
Lattice="5.171 0.000 0.000 0.000 5.171 0.000 0.000 0.000 5.071" Properties=species:S:1:pos:R:3 pbc="T T T"
Cd 0.000 0.000 2.536
Hg 2.586 2.586 2.536
Bi 2.586 0.000 0.000
Bi 0.000 2.586 0.000
Ni 0.000 0.000 0.000
```

Summary:
- Energy relative to the elements: 180 meV per atom
- V: 135.6 Å³/cell